Below is crystalline Zr3Cu5Se12 at its relaxed geometry, with properties calculated at the PBE-GGA level.

Cell: 15.1348 15.1348 15.1348 Å, 90.00 90.00 90.00°
With the nearest neighbours (Å) after each atom.
Space group Ia-3d (No. 230)
One atom of each set of equivalent atoms:
Zr  0.0000  0.2500  0.1250 [24 per cell]  8 Se 2.85-2.86
Cu  0.0000  0.0000  0.0000 [16 per cell]  6 Se 2.52
Cu  0.0000  0.2500  0.3750 [24 per cell]  4 Se 2.36
Se  0.0227  0.0642  0.6519 [96 per cell]  2 Cu 2.36-2.52

**Formation energy from raw total energies**: -50.5 kJ/mol of atoms
**Spin magnetization**: 0.0 μB per cell
**DOS at the Fermi energy**: 0.64 states/eV per atom
**E**: -4.921 eV/atom

Below is crystalline ZrCuSe at its relaxed geometry, with properties calculated at the PBE-GGA level.

Cell: 4.2276 4.2276 3.3852 Å, 90.00 90.00 120.00°
With the nearest neighbours (Å) after each atom.
Space group P3m1 (No. 156)
One atom of each set of equivalent atoms:
Zr  0.0000  0.0000  0.0000 [1 per cell]  6 Cu 2.97, 6 Se 2.97
Cu  0.6667  0.3333  0.4985 [1 per cell]  3 Se 2.44
Se  0.3333  0.6667  0.5004 [1 per cell]  3 Cu 2.44

**Offset from the most stable computed form**: 109 kJ/mol of formula units
**Formation energy from raw total energies**: -32.4 kJ/mol of atoms
**Spin magnetization**: 0.0 μB per cell
**DOS at the Fermi energy**: 0.99 states/eV per atom
**E**: -5.712 eV/atom

Below is crystalline Zr2CuSe at its relaxed geometry, with properties calculated at the PBE-GGA level.

Cell: 3.4016 3.4016 6.3838 Å, 90.00 90.00 90.00°
With the nearest neighbours (Å) after each atom.
Space group P4/mmm (No. 123)
One atom of each set of equivalent atoms:
Zr  0.0000  0.0000  0.2468 [2 per cell]  4 Cu 2.88, 4 Se 2.90, 1 Zr 3.15
Cu  0.5000  0.5000  0.0000 [1 per cell]  8 Zr 2.88, 2 Se 3.19
Se  0.5000  0.5000  0.5000 [1 per cell]  8 Zr 2.90, 2 Cu 3.19

**Formation energy from raw total energies**: -50.2 kJ/mol of atoms
**Spin magnetization**: 0.0 μB per cell
**DOS at the Fermi energy**: 0.74 states/eV per atom
**E**: -6.689 eV/atom

Below is crystalline Zr2CuSe at its relaxed geometry, with properties calculated at the PBE-GGA level.

Cell: 3.5773 4.0773 5.4113 Å, 90.00 90.00 90.00°
With the nearest neighbours (Å) after each atom.
Space group Pmmm (No. 47)
One atom of each set of equivalent atoms:
Zr  0.0000  0.0000  0.0000 [1 per cell]  2 Cu 2.71, 4 Se 2.71
Zr  0.5000  0.5000  0.5000 [1 per cell]  2 Se 2.71, 4 Cu 2.71
Cu  0.0000  0.0000  0.5000 [1 per cell]  6 Zr 2.71
Se  0.5000  0.5000  0.0000 [1 per cell]  6 Zr 2.71

**Formation energy from raw total energies**: -56.9 kJ/mol of atoms
**Spin magnetization**: 0.0 μB per cell
**DOS at the Fermi energy**: 0.59 states/eV per atom
**E**: -6.759 eV/atom

Below is crystalline ZrCu2Se at its relaxed geometry, with properties calculated at the PBE-GGA level.

Cell: 7.5074 3.6401 5.6640 Å, 90.00 108.49 90.00°
With the nearest neighbours (Å) after each atom.
Space group Cm (No. 8)
One atom of each set of equivalent atoms:
Zr  0.0000  0.0000  0.0000 [2 per cell]  5 Cu 2.70-2.89, 3 Se 2.79-2.82
Cu  0.2081  0.5000  0.3865 [2 per cell]  3 Cu 2.41-2.43, 2 Se 2.53
Cu  0.3700  0.0000  0.2577 [2 per cell]  3 Cu 2.41-2.43, 1 Zr 2.70
Se  0.2422  0.0000  0.7085 [2 per cell]  2 Cu 2.53, 3 Zr 2.79-2.82

**Formation energy from raw total energies**: -25.4 kJ/mol of atoms
**Spin magnetization**: 0.0 μB per cell
**DOS at the Fermi energy**: 0.28 states/eV per atom
**E**: -5.319 eV/atom

Below is crystalline Zr2Cu2Se at its relaxed geometry, with properties calculated at the PBE-GGA level.

Cell: 3.3852 3.3852 15.6217 Å, 90.00 90.00 90.00°
With the nearest neighbours (Å) after each atom.
Space group I4/mmm (No. 139)
One atom of each set of equivalent atoms:
Zr  0.0000  0.0000  0.1037 [4 per cell]  4 Cu 2.84, 4 Se 2.89
Cu  0.0000  0.5000  0.2500 [4 per cell]  4 Cu 2.39
Se  0.0000  0.0000  0.5000 [2 per cell]  8 Zr 2.89

**Offset from the most stable computed form**: 0 kJ/mol of formula units
**Formation energy from raw total energies**: -30.4 kJ/mol of atoms
**Spin magnetization**: 0.0 μB per cell
**DOS at the Fermi energy**: 0.71 states/eV per atom
**E**: -6.070 eV/atom

Below is crystalline ZrCuSe at its relaxed geometry, with properties calculated at the PBE-GGA level.

Cell: 3.4370 17.7170 3.9313 Å, 90.00 90.00 90.00°
With the nearest neighbours (Å) after each atom.
Space group Cmcm (No. 63)
One atom of each set of equivalent atoms:
Zr  0.0000  0.0986  0.2500 [4 per cell]  6 Cu 2.86-2.90, 4 Se 2.88
Cu  0.0000  0.4669  0.2500 [4 per cell]  2 Cu 2.29, 1 Se 2.37
Se  0.0000  0.3333  0.2500 [4 per cell]  1 Cu 2.37

**Offset from the most stable computed form**: 18 kJ/mol of formula units
**Formation energy from raw total energies**: -63.0 kJ/mol of atoms
**Spin magnetization**: 0.0 μB per cell
**DOS at the Fermi energy**: 0.94 states/eV per atom
**E**: -6.029 eV/atom

Below is crystalline ZrCuSe2 at its relaxed geometry, with properties calculated at the PBE-GGA level.

Cell: 3.5208 3.6826 14.0285 Å, 90.00 90.00 90.00°
With the nearest neighbours (Å) after each atom.
Space group Imm2 (No. 44)
One atom of each set of equivalent atoms:
Zr  0.0000  0.0000  0.0000 [2 per cell]  6 Se 2.77-2.78, 2 Cu 2.81
Cu  0.0000  0.5000  0.8486 [2 per cell]  4 Se 2.55, 2 Zr 2.81
Se  0.0000  0.0000  0.5788 [2 per cell]  4 Zr 2.78
Se  0.0000  0.5000  0.3476 [2 per cell]  4 Cu 2.55, 2 Zr 2.77

**Formation energy from raw total energies**: -77.0 kJ/mol of atoms
**Spin magnetization**: 0.0 μB per cell
**DOS at the Fermi energy**: 0.46 states/eV per atom
**E**: -5.701 eV/atom

Below is crystalline Zr2CuSe at its relaxed geometry, with properties calculated at the PBE-GGA level.

Cell: 6.1360 7.3848 3.2369 Å, 90.00 90.28 90.00°
With the nearest neighbours (Å) after each atom.
Space group C2/m (No. 12)
One atom of each set of equivalent atoms:
Zr  0.2500  0.2500  0.0000 [4 per cell]  4 Se 2.89-2.90, 4 Cu 2.89-2.90, 4 Zr 3.07-3.24
Cu  0.0000  0.0000  0.5000 [2 per cell]  8 Zr 2.89-2.90, 2 Se 3.07, 2 Cu 3.24
Se  0.0000  0.5000  0.5000 [2 per cell]  8 Zr 2.89-2.90, 2 Cu 3.07, 2 Se 3.24

**Formation energy from raw total energies**: -48.5 kJ/mol of atoms
**Spin magnetization**: 0.0 μB per cell
**DOS at the Fermi energy**: 0.59 states/eV per atom
**E**: -6.672 eV/atom

Below is crystalline ZrCu3Se at its relaxed geometry, with properties calculated at the PBE-GGA level.

Cell: 4.5161 4.5161 4.5161 Å, 90.00 90.00 90.00°
With the nearest neighbours (Å) after each atom.
Space group Pm-3m (No. 221)
One atom of each set of equivalent atoms:
Zr  0.0000  0.0000  0.0000 [1 per cell]  12 Cu 3.19
Cu  0.0000  0.5000  0.5000 [3 per cell]  2 Se 2.26
Se  0.5000  0.5000  0.5000 [1 per cell]  6 Cu 2.26

**Offset from the most stable computed form**: 0 kJ/mol of formula units
**Formation energy from raw total energies**: 53.3 kJ/mol of atoms
**Spin magnetization**: 0.0 μB per cell
**DOS at the Fermi energy**: 0.56 states/eV per atom
**E**: -4.312 eV/atom

Below is crystalline ZrCu3Se4 at its relaxed geometry, with properties calculated at the PBE-GGA level.

Cell: 3.9626 8.8792 9.6765 Å, 90.00 90.00 90.00°
With the nearest neighbours (Å) after each atom.
Space group Amm2 (No. 38)
One atom of each set of equivalent atoms:
Zr  0.0000  0.0000  0.0000 [2 per cell]  6 Se 2.64-2.81
Cu  0.0000  0.0000  0.3400 [2 per cell]  4 Se 2.37-2.39
Cu  0.5000  0.2161  0.6393 [4 per cell]  4 Se 2.39-2.60
Se  0.0000  0.2028  0.5023 [4 per cell]  3 Cu 2.39, 1 Zr 2.64
Se  0.5000  0.0000  0.2057 [2 per cell]  4 Cu 2.37-2.60
Se  0.5000  0.0000  0.8027 [2 per cell]  2 Cu 2.49, 2 Zr 2.75

**Formation energy from raw total energies**: -49.9 kJ/mol of atoms
**Spin magnetization**: 0.0 μB per cell
**DOS at the Fermi energy**: 0.47 states/eV per atom
**E**: -4.864 eV/atom

Below is crystalline ZrCuSe2 at its relaxed geometry, with properties calculated at the PBE-GGA level.

Cell: 5.9573 5.9573 11.1547 Å, 90.00 90.00 90.00°
With the nearest neighbours (Å) after each atom.
Space group I-42d (No. 122)
One atom of each set of equivalent atoms:
Zr  0.0000  0.0000  0.0000 [4 per cell]  4 Se 2.62
Cu  0.0000  0.0000  0.5000 [4 per cell]  4 Se 2.44
Se  0.2234  0.2500  0.6250 [8 per cell]  2 Cu 2.44, 2 Zr 2.62

**Formation energy from raw total energies**: -57.3 kJ/mol of atoms
**Spin magnetization**: 2.9 μB per cell
**DOS at the Fermi energy**: 1.39 states/eV per atom
**E**: -5.497 eV/atom